# 1
Below is AcSnAu10 after structural relaxation, with properties calculated at the PBE level.

abc: 4.735 5.661 9.739
angles: 90.00 90.00 90.00
Atoms (fractional coordinates):
1 Ac 0.000 0.500 0.500
2 Sn 0.000 0.000 0.000
3 Au 0.000 0.000 0.317
4 Au 0.000 0.500 0.843
5 Au 0.000 0.500 0.157
6 Au 0.000 0.000 0.683
7 Au 0.500 0.000 0.500
8 Au 0.500 0.500 0.000
9 Au 0.500 0.256 0.257
10 Au 0.500 0.744 0.743
11 Au 0.500 0.744 0.257
12 Au 0.500 0.256 0.743

SG   Pmmm
Formation energy from the elements   -236 meV/atom


# 2
Below is Ac4Sn3Au after structural relaxation, with properties calculated at the PBE level.

abc: 4.794 4.690 12.312
angles: 90.00 90.00 90.00
Atoms (fractional coordinates):
1 Ac 0.500 0.500 0.352
2 Ac 0.000 0.500 0.867
3 Ac 0.000 0.000 0.133
4 Ac 0.500 0.000 0.641
5 Sn 0.000 0.500 0.584
6 Sn 0.000 0.000 0.416
7 Sn 0.500 0.000 0.924
8 Au 0.500 0.500 0.083

SG   Pmm2
Formation energy from the elements   -716 meV/atom


# 3
Below is Ac4Sn5Au3 after structural relaxation, with properties calculated at the PBE level.

abc: 5.111 8.308 10.889
angles: 66.30 76.43 72.09
Atoms (fractional coordinates):
1 Ac 0.954 0.267 0.826
2 Ac 0.242 0.827 0.689
3 Ac 0.758 0.173 0.311
4 Ac 0.046 0.733 0.174
5 Sn 0.588 0.938 0.886
6 Sn 0.500 0.500 0.500
7 Sn 0.294 0.441 0.970
8 Sn 0.706 0.559 0.030
9 Sn 0.412 0.062 0.114
10 Au 0.364 0.883 0.388
11 Au 0.000 0.500 0.500
12 Au 0.636 0.117 0.612

SG   C2/m
Formation energy from the elements   -480 meV/atom


# 4
Below is Ac2SnAu3 after structural relaxation, with properties calculated at the PBE level.

abc: 4.267 4.550 9.342
angles: 104.09 103.20 90.00
Atoms (fractional coordinates):
1 Ac 0.127 0.127 0.254
2 Ac 0.866 0.366 0.733
3 Sn 0.461 0.961 0.922
4 Au 0.701 0.701 0.401
5 Au 0.544 0.544 0.088
6 Au 0.301 0.801 0.602

Offset from the most stable computed form   49 meV/atom
SG   Imm2
Formation energy from the elements   -754 meV/atom


# 5
Below is Ac2Sn2Au3 after structural relaxation, with properties calculated at the PBE level.

abc: 4.645 6.368 7.376
angles: 110.54 90.00 111.39
Atoms (fractional coordinates):
1 Ac 0.858 0.716 0.249
2 Ac 0.142 0.284 0.751
3 Sn 0.854 0.709 0.767
4 Sn 0.146 0.291 0.233
5 Au 0.500 0.000 0.000
6 Au 0.595 0.190 0.425
7 Au 0.405 0.810 0.575

Offset from the most stable computed form   0 meV/atom
SG   C2/m
Formation energy from the elements   -673 meV/atom


# 6
Below is AcSn2Au after structural relaxation, with properties calculated at the PBE level.

abc: 3.860 3.860 7.404
angles: 90.00 90.00 90.00
Atoms (fractional coordinates):
1 Ac 0.500 0.500 0.500
2 Au 0.500 0.500 0.000
3 Sn 0.000 0.000 0.806
4 Sn 0.000 0.000 0.194

Offset from the most stable computed form   294 meV/atom
SG   P4/mmm
Formation energy from the elements   -315 meV/atom


M_tot, respectively: 0.0; 0.0; 0.0; 0.0; 0.0; 0.1 μB/cell.